(1)
Below is a geometry-optimized CsCrOs2N structure, with properties calculated at the PBE level.

Electronic total energy (eV per atom): -4.520
Formation energy without anion corrections (eV/f.u.): 18.66
Total magnetization (μB/atom): 0.052

The structure in POSCAR format:
```
CsCrOs2N
1.0
5.081 0.000 0.000
0.000 4.251 0.000
0.000 0.000 5.081
Cr Os N Cs
1 2 1 1
Direct
0.500 0.500 0.500 Cr
0.500 0.000 0.000 Os
0.000 0.000 0.500 Os
0.000 0.500 0.000 N
0.000 0.000 0.000 Cs
```


(2)
Below is a geometry-optimized CsPmCrN3 structure, with properties calculated at the PBE level.

Electronic total energy (eV per atom): -7.118
Formation energy without anion corrections (eV/f.u.): -2.50
Total magnetization (μB/atom): 0.000

The structure in POSCAR format:
```
CsPmCrN3
1.0
3.756 0.000 0.000
-1.878 6.765 -0.016
0.000 -1.989 8.472
N Cr Cs Pm
6 2 2 2
Direct
0.845 0.691 0.625 N
0.155 0.309 0.375 N
0.484 0.969 0.637 N
0.516 0.031 0.363 N
0.115 0.231 0.764 N
0.885 0.769 0.236 N
0.989 0.977 0.652 Cr
0.011 0.023 0.348 Cr
0.640 0.280 0.075 Cs
0.360 0.720 0.925 Cs
0.341 0.682 0.415 Pm
0.659 0.318 0.585 Pm
```


(3)
Below is a geometry-optimized CsCrRh2N structure, with properties calculated at the PBE level.

Electronic total energy (eV per atom): -3.592
Formation energy without anion corrections (eV/f.u.): 15.55
Total magnetization (μB/atom): 1.530

The structure in POSCAR format:
```
CsCrRh2N
1.0
5.000 0.000 0.000
0.000 5.556 0.000
0.000 0.000 5.000
Cs N Rh Cr
1 1 2 1
Direct
0.000 0.000 0.000 Cs
0.500 0.500 0.500 N
0.500 0.000 0.000 Rh
0.000 0.000 0.500 Rh
0.000 0.500 0.000 Cr
```


(4)
Below is a geometry-optimized CsCrS2N structure, with properties calculated at the PBE level.

Electronic total energy (eV per atom): -5.336
Formation energy without anion corrections (eV/f.u.): 0.38
Total magnetization (μB/atom): 0.000
Distance to the lowest polymorph of the same formula (eV per formula unit): 0.00

The structure in POSCAR format:
```
CsCrS2N
1.0
-0.648 -4.962 -0.599
1.049 0.456 -4.909
3.575 -0.553 0.713
Cr N S Cs
1 1 2 1
Direct
0.000 0.000 0.000 Cr
0.000 0.000 0.500 N
0.500 0.000 0.000 S
0.000 0.500 0.000 S
0.500 0.500 0.500 Cs
```


(5)
Below is a geometry-optimized CsCrS2N structure, with properties calculated at the PBE level.

Electronic total energy (eV per atom): -2.880
Formation energy without anion corrections (eV/f.u.): 12.66
Total magnetization (μB/atom): 0.067
Distance to the lowest polymorph of the same formula (eV per formula unit): 12.28

The structure in POSCAR format:
```
CsCrS2N
1.0
5.447 0.000 0.000
0.000 5.447 0.000
0.000 0.000 4.308
Cr Cs S N
1 1 2 1
Direct
0.500 0.500 0.500 Cr
0.000 0.000 0.000 Cs
0.500 0.000 0.000 S
0.000 0.500 0.000 S
0.000 0.000 0.500 N
```


(6)
Below is a geometry-optimized CsCrSe2N structure, with properties calculated at the PBE level.

Electronic total energy (eV per atom): -2.769
Formation energy without anion corrections (eV/f.u.): 11.93
Total magnetization (μB/atom): 0.365

The structure in POSCAR format:
```
CsCrSe2N
1.0
-4.618 -2.625 2.602
-1.858 -1.951 -5.266
2.384 -3.677 0.521
Cr Se N Cs
1 2 1 1
Direct
0.500 0.500 0.500 Cr
0.000 0.500 0.000 Se
0.500 0.000 0.000 Se
0.000 0.000 0.500 N
0.000 0.000 0.000 Cs
```


(7)
Below is a geometry-optimized CsCrSnN2 structure, with properties calculated at the PBE level.

Electronic total energy (eV per atom): -4.635
Formation energy without anion corrections (eV/f.u.): 7.96
Total magnetization (μB/atom): 0.000

The structure in POSCAR format:
```
CsCrSnN2
1.0
-3.355 -2.093 -1.263
2.039 -0.360 -4.819
1.836 -3.573 1.044
Cs Cr Sn N
1 1 1 2
Direct
0.000 0.500 0.000 Cs
0.000 0.000 0.000 Cr
0.500 0.500 0.500 Sn
0.500 0.000 0.000 N
0.000 0.000 0.500 N
```


(8)
Below is a geometry-optimized CsCrTe2N structure, with properties calculated at the PBE level.

Electronic total energy (eV per atom): -5.041
Formation energy without anion corrections (eV/f.u.): -0.12
Total magnetization (μB/atom): 0.323
Distance to the lowest polymorph of the same formula (eV per formula unit): 0.00

The structure in POSCAR format:
```
CsCrTe2N
1.0
6.238 0.000 0.000
0.000 6.238 0.000
0.000 0.000 3.568
Cr Cs Te N
1 1 2 1
Direct
0.000 0.000 0.000 Cr
0.500 0.500 0.500 Cs
0.500 0.000 0.000 Te
0.000 0.500 0.000 Te
0.000 0.000 0.500 N
```


(9)
Below is a geometry-optimized CsCrTe2N structure, with properties calculated at the PBE level.

Electronic total energy (eV per atom): -3.133
Formation energy without anion corrections (eV/f.u.): 9.42
Total magnetization (μB/atom): 0.459
Distance to the lowest polymorph of the same formula (eV per formula unit): 9.54

The structure in POSCAR format:
```
CsCrTe2N
1.0
-3.200 -5.021 2.297
2.852 -2.828 -2.208
3.836 -0.112 5.099
Te N Cr Cs
2 1 1 1
Direct
0.500 0.000 0.000 Te
0.000 0.000 0.500 Te
0.000 0.500 0.000 N
0.500 0.500 0.500 Cr
0.000 0.000 0.000 Cs
```


(10)
Below is a geometry-optimized CsCrTeN2 structure, with properties calculated at the PBE level.

Electronic total energy (eV per atom): -3.736
Formation energy without anion corrections (eV/f.u.): 11.59
Total magnetization (μB/atom): 1.232

The structure in POSCAR format:
```
CsCrTeN2
1.0
-3.480 0.051 -2.665
-2.501 -1.578 3.236
-1.645 7.304 2.289
N Cs Te Cr
2 1 1 1
Direct
0.000 0.500 0.000 N
0.500 0.000 0.000 N
0.000 0.000 0.000 Cs
0.000 0.000 0.500 Te
0.500 0.500 0.500 Cr
```


(11)
Below is a geometry-optimized CsThCrN4 structure, with properties calculated at the PBE level.

Electronic total energy (eV per atom): -7.952
Formation energy without anion corrections (eV/f.u.): -4.47
Total magnetization (μB/atom): 0.149

The structure in POSCAR format:
```
CsThCrN4
1.0
-4.093 3.605 2.702
-3.263 -0.179 -4.704
-2.217 -7.946 1.840
Cs N Th Cr
2 8 2 2
Direct
0.279 0.250 0.071 Cs
0.721 0.750 0.929 Cs
0.953 0.488 0.661 N
0.047 0.512 0.339 N
0.047 0.988 0.339 N
0.588 0.250 0.775 N
0.581 0.250 0.455 N
0.953 0.012 0.661 N
0.419 0.750 0.545 N
0.412 0.750 0.225 N
0.766 0.750 0.445 Th
0.234 0.250 0.555 Th
0.769 0.250 0.648 Cr
0.231 0.750 0.352 Cr
```


(12)
Below is a geometry-optimized Cs3NaCr structure, with properties calculated at the PBE level.

Electronic total energy (eV per atom): -2.123
E_form (eV/atom): 0.577
Total magnetization (μB/atom): 1.191

The structure in POSCAR format:
```
Cs3NaCr
1.0
7.472 0.000 0.000
0.000 7.472 0.000
0.000 0.000 7.472
Na Cr Cs
1 1 3
Direct
0.500 0.500 0.500 Na
0.000 0.000 0.000 Cr
0.000 0.500 0.000 Cs
0.500 0.000 0.000 Cs
0.000 0.000 0.500 Cs
```